(1)
The following is a DFT calculation (PBE-GGA) of a relaxed CaBr crystal.

## Properties
For the uncorrected formation energy, the calculation gives -0.61 eV/atom. The raw total energy is -2.45 eV/atom. The density of states at the Fermi level is 0.488 states/eV per atom.

abc: 5.7423 5.7423 5.7423
angles: 60.00 60.00 60.00
Closest atoms and distances in Å follow each position.
Sites, in units of the cell vectors:
1 Ca 0.1250 0.1250 0.1250  4 Br 3.52, 4 Ca 3.52
2 Ca 0.8750 0.8750 0.8750  4 Br 3.52, 4 Ca 3.52
3 Br 0.3750 0.3750 0.3750  4 Br 3.52, 4 Ca 3.52
4 Br 0.6250 0.6250 0.6250  4 Ca 3.52, 4 Br 3.52


(2)
The following is a DFT calculation (PBE-GGA) of a relaxed K2Li2Ca crystal.

## Properties
The raw total energy is -1.28 eV/atom. The density of states at the Fermi level is 0.689 states/eV per atom. Its formation energy is 0.33 eV per atom.

abc: 7.3381 7.3381 7.3381
angles: 130.97 130.97 71.87
Closest atoms and distances in Å follow each position.
Sites, in units of the cell vectors:
1 K 0.1383 0.1383 0.0000  1 K 3.29, 4 Li 3.32
2 K 0.8617 0.8617 0.0000  1 K 3.29, 4 Li 3.32
3 Li 0.2500 0.7500 0.5000  4 K 3.32
4 Li 0.7500 0.2500 0.5000  4 K 3.32
5 Ca 0.5000 0.5000 0.0000  8 Li 4.25, 10 K 4.30-4.61


(3)
The following is a DFT calculation (PBE-GGA) of a relaxed Tb2AuBr crystal.

## Properties
For the uncorrected formation energy, the calculation gives -0.92 eV/atom. The raw total energy is -4.47 eV/atom. The density of states at the Fermi level is 0.304 states/eV per atom.

abc: 8.2657 8.2657 8.2657
angles: 28.35 28.35 28.35
Closest atoms and distances in Å follow each position.
Sites, in units of the cell vectors:
1 Tb 0.0000 0.0000 0.0000  3 Au 2.89
2 Tb 0.1923 0.1923 0.1923  3 Au 2.87
3 Au 0.5955 0.5955 0.5955  6 Tb 2.87-2.89
4 Br 0.7656 0.7656 0.7656  6 Tb 3.22-3.32


(4)
The following is a DFT calculation (PBE-GGA) of a relaxed RbPuMgBr6 crystal.

## Properties
For the uncorrected formation energy, the calculation gives -1.57 eV/atom. The raw total energy is -4.56 eV/atom. The density of states at the Fermi level is 1.258 states/eV per atom.

abc: 7.3156 7.3156 15.1897
angles: 90.00 90.00 120.00
Closest atoms and distances in Å follow each position.
Sites, in units of the cell vectors:
1 Rb 0.0000 0.0000 0.0000  6 Br 3.51
2 Rb 0.0000 0.0000 0.5000  6 Br 3.51
3 Pu 0.3333 0.6667 0.2500  6 Br 2.89
4 Pu 0.6667 0.3333 0.7500  6 Br 2.89
5 Mg 0.3333 0.6667 0.7500  6 Br 2.71
6 Mg 0.6667 0.3333 0.2500  6 Br 2.71
7 Br 0.0187 0.3811 0.6459  1 Mg 2.71, 1 Pu 2.89
8 Br 0.0187 0.6375 0.8541  1 Mg 2.71, 1 Pu 2.89
9 Br 0.3625 0.3811 0.8541  1 Mg 2.71, 1 Pu 2.89
10 Br 0.3625 0.9813 0.6459  1 Mg 2.71, 1 Pu 2.89
11 Br 0.3811 0.0187 0.1459  1 Mg 2.71, 1 Pu 2.89
12 Br 0.3811 0.3625 0.3541  1 Mg 2.71, 1 Pu 2.89
13 Br 0.6189 0.6375 0.6459  1 Mg 2.71, 1 Pu 2.89
14 Br 0.6189 0.9813 0.8541  1 Mg 2.71, 1 Pu 2.89
15 Br 0.6375 0.0187 0.3541  1 Mg 2.71, 1 Pu 2.89
16 Br 0.6375 0.6189 0.1459  1 Mg 2.71, 1 Pu 2.89
17 Br 0.9813 0.3625 0.1459  1 Mg 2.71, 1 Pu 2.89
18 Br 0.9813 0.6189 0.3541  1 Mg 2.71, 1 Pu 2.89